# 1
Ca2Mg2Zn: relaxed, GGA-PBE.

Cell lengths 7.106, 7.106, 7.185 Å; angles 105.06, 105.06, 56.71 degrees
Atoms (fractional coordinates):
Ca (0.067, 0.210, 0.495)
Ca (0.210, 0.067, 0.995)
Ca (0.790, 0.933, 0.005)
Ca (0.933, 0.790, 0.505)
Mg (0.310, 0.465, 0.870)
Mg (0.465, 0.310, 0.370)
Mg (0.535, 0.690, 0.630)
Mg (0.690, 0.535, 0.130)
Zn (0.264, 0.736, 0.250)
Zn (0.736, 0.264, 0.750)

DOS(E_F): 0.59 states/eV/atom
theoretical density: 2.23 Mg/m³
formation enthalpy at 0 K: -0.050 eV/atom
ΔE to the lowest computed polymorph: 79 meV/atom
SG: C2/c, No. 15
total energy: -17.4 eV/cell

---

# 2
Li2BiSb2: relaxed, GGA-PBE.

Cell lengths 8.715, 8.715, 3.245 Å; angles 90.00, 90.00, 90.00 degrees
Atoms (fractional coordinates):
Li (0.122, 0.378, 0.000)
Li (0.378, 0.878, 0.000)
Li (0.622, 0.122, 0.000)
Li (0.878, 0.622, 0.000)
Bi (0.000, 0.000, 0.500)
Bi (0.500, 0.500, 0.500)
Sb (0.173, 0.673, 0.500)
Sb (0.327, 0.173, 0.500)
Sb (0.673, 0.827, 0.500)
Sb (0.827, 0.327, 0.500)

DOS(E_F): 0.47 states/eV/atom
theoretical density: 6.28 Mg/m³
ΔE to the lowest computed polymorph: 0 meV/atom
SG: P4/mbm, No. 127
total energy: -34.9 eV/cell

---

# 3
BaAg2Te: relaxed, GGA-PBE.

Cell lengths 4.536, 5.080, 5.645 Å; angles 90.00, 90.00, 90.00 degrees
Atoms (fractional coordinates):
Ba (0.000, 0.000, 0.000)
Ag (0.500, 0.500, 0.240)
Ag (0.500, 0.500, 0.760)
Te (0.500, 0.000, 0.500)

DOS(E_F): 0.04 states/eV/atom
theoretical density: 6.14 Mg/m³
SG: Pmmm, No. 47
total energy: -13.0 eV/cell

---

# 4
AlIr2Se: relaxed, GGA-PBE.

Cell lengths 2.891, 2.891, 7.621 Å; angles 90.00, 90.00, 90.00 degrees
Atoms (fractional coordinates):
Al (0.000, 0.000, 0.000)
Ir (0.000, 0.000, 0.459)
Ir (0.500, 0.500, 0.202)
Se (0.500, 0.500, 0.683)

DOS(E_F): 0.59 states/eV/atom
theoretical density: 12.78 Mg/m³
ΔE to the lowest computed polymorph: 201 meV/atom
SG: P4mm, No. 99
total energy: -24.9 eV/cell

---

# 5
Ac8Ru3SBr4: relaxed, GGA-PBE.

Cell lengths 9.640, 9.640, 9.640 Å; angles 53.83, 53.83, 53.83 degrees
Atoms (fractional coordinates):
Ac (0.217, 0.738, 0.738)
Ac (0.234, 0.234, 0.234)
Ac (0.262, 0.262, 0.783)
Ac (0.262, 0.783, 0.262)
Ac (0.738, 0.217, 0.738)
Ac (0.738, 0.738, 0.217)
Ac (0.766, 0.766, 0.766)
Ac (0.783, 0.262, 0.262)
Ru (0.000, 0.000, 0.500)
Ru (0.000, 0.500, 0.000)
Ru (0.500, 0.000, 0.000)
S (0.500, 0.500, 0.500)
Br (0.000, 0.000, 0.000)
Br (0.000, 0.500, 0.500)
Br (0.500, 0.000, 0.500)
Br (0.500, 0.500, 0.000)

DOS(E_F): 0.43 states/eV/atom
theoretical density: 7.57 Mg/m³
SG: R-3m, No. 166
total energy: -88.1 eV/cell

---

# 6
BaZnF3: relaxed, GGA-PBE.

Cell lengths 4.436, 4.436, 4.436 Å; angles 90.00, 90.00, 90.00 degrees
Atoms (fractional coordinates):
Ba (0.000, 0.000, 0.000)
Zn (0.500, 0.500, 0.500)
F (0.000, 0.500, 0.500)
F (0.500, 0.000, 0.500)
F (0.500, 0.500, 0.000)

DOS(E_F): 0.27 states/eV/atom
theoretical density: 4.94 Mg/m³
ΔE to the lowest computed polymorph: 207 meV/atom
SG: Pm-3m, No. 221
total energy: -21.6 eV/cell

---

# 7
La4CdRe: relaxed, GGA-PBE.

Cell lengths 8.245, 8.245, 6.405 Å; angles 100.82, 100.82, 112.11 degrees
Atoms (fractional coordinates):
La (0.060, 0.724, 0.945)
La (0.203, 0.358, 0.625)
La (0.276, 0.940, 0.555)
La (0.358, 0.203, 0.125)
La (0.642, 0.797, 0.875)
La (0.724, 0.060, 0.445)
La (0.797, 0.642, 0.375)
La (0.940, 0.276, 0.055)
Cd (0.377, 0.623, 0.250)
Cd (0.623, 0.377, 0.750)
Re (0.001, 0.999, 0.250)
Re (0.999, 0.001, 0.750)

DOS(E_F): 1.05 states/eV/atom
theoretical density: 7.47 Mg/m³
formation enthalpy at 0 K: -0.099 eV/atom
ΔE to the lowest computed polymorph: 0 meV/atom
SG: C2/c, No. 15
total energy: -67.3 eV/cell

---

# 8
SrLa2Tb: relaxed, GGA-PBE.

Cell lengths 6.044, 6.044, 6.044 Å; angles 60.00, 60.00, 60.00 degrees
Atoms (fractional coordinates):
Sr (0.000, 0.000, 0.000)
La (0.250, 0.250, 0.250)
La (0.750, 0.750, 0.750)
Tb (0.500, 0.500, 0.500)

DOS(E_F): 1.66 states/eV/atom
theoretical density: 5.58 Mg/m³
formation enthalpy at 0 K: 0.191 eV/atom
ΔE to the lowest computed polymorph: 105 meV/atom
SG: Fm-3m, No. 225
total energy: -15.4 eV/cell

---

# 9
Pr5Nd3Er2: relaxed, GGA-PBE.

Cell lengths 6.510, 6.510, 10.959 Å; angles 97.48, 97.48, 50.78 degrees
Atoms (fractional coordinates):
Pr (0.000, 0.000, 0.000)
Pr (0.140, 0.140, 0.262)
Pr (0.323, 0.323, 0.552)
Pr (0.677, 0.677, 0.448)
Pr (0.860, 0.860, 0.738)
Nd (0.000, 0.000, 0.500)
Nd (0.265, 0.265, 0.893)
Nd (0.735, 0.735, 0.107)
Er (0.436, 0.436, 0.226)
Er (0.564, 0.564, 0.774)

DOS(E_F): 1.44 states/eV/atom
theoretical density: 6.86 Mg/m³
formation enthalpy at 0 K: 0.172 eV/atom
SG: C2/m, No. 12
total energy: -45.6 eV/cell

---

# 10
Sr2TlCuBr: relaxed, GGA-PBE.

Cell lengths 5.902, 5.902, 5.832 Å; angles 90.00, 90.00, 90.00 degrees
Atoms (fractional coordinates):
Sr (0.000, 0.500, 0.000)
Sr (0.500, 0.000, 0.000)
Tl (0.000, 0.000, 0.500)
Cu (0.500, 0.500, 0.500)
Br (0.000, 0.000, 0.000)

DOS(E_F): 0.76 states/eV/atom
theoretical density: 4.28 Mg/m³
SG: P4/mmm, No. 123
total energy: -11.5 eV/cell